[1]
A plane-wave DFT calculation with PBE-GGA was carried out for crystalline KNa4Tl15 at its relaxed geometry.

Space-group type ... P4/mmm (123)
Volume ... 29.8 A^3/atom
Magnetic moment ... 0.00 Bohr magnetons per cell
Uncorrected energy ... -43.0 eV/cell

Cell lengths 4.8759, 4.8759, 25.0807 Å; angles 90.00, 90.00, 90.00 degrees
Fractional coordinates of all 20 atoms:
Tl 0.0000 0.5000 0.5000
Tl 0.0000 0.5000 0.1077
Tl 0.5000 0.0000 0.8923
Tl 0.5000 0.0000 0.5000
Tl 0.5000 0.5000 0.7952
Tl 0.5000 0.0000 0.3036
Tl 0.5000 0.5000 0.4024
Tl 0.5000 0.0000 0.6964
Tl 0.5000 0.5000 0.2048
Tl 0.0000 0.5000 0.8923
Tl 0.0000 0.5000 0.6964
Tl 0.0000 0.5000 0.3036
Tl 0.5000 0.5000 0.0000
Tl 0.5000 0.5000 0.5976
Tl 0.5000 0.0000 0.1077
Na 0.0000 0.0000 0.4018
Na 0.0000 0.0000 0.2059
Na 0.0000 0.0000 0.7941
Na 0.0000 0.0000 0.5982
K 0.0000 0.0000 0.0000

=====

[2]
A plane-wave DFT calculation with PBE-GGA was carried out for crystalline LiFeRh4 at its relaxed geometry.

Space-group type ... F-43m (216)
Volume ... 15.6 A^3/atom
Magnetic moment ... 5.92 Bohr magnetons per cell
Energy above the lowest structure with this stoichiometry ... 288 meV/atom
Uncorrected energy ... -38.4 eV/cell

Cell lengths 5.0928, 5.0928, 5.0928 Å; angles 60.00, 60.00, 60.00 degrees
Fractional coordinates of all 6 atoms:
Rh 0.3751 0.3751 0.3751
Rh 0.3751 0.8747 0.3751
Rh 0.3751 0.3751 0.8747
Rh 0.8747 0.3751 0.3751
Fe 0.7500 0.7500 0.7500
Li 0.0000 0.0000 0.0000

=====

[3]
A plane-wave DFT calculation with PBE-GGA was carried out for crystalline MoAuBr2 at its relaxed geometry.

Space-group type ... Cmm2 (35)
Volume ... 23.3 A^3/atom
Energy relative to the elements, uncorrected ... 0.40 eV per atom
Magnetic moment ... 0.96 Bohr magnetons per cell
Energy above the lowest structure with this stoichiometry ... 315 meV/atom
Uncorrected energy ... -15.9 eV/cell

Cell lengths 3.2944, 3.2944, 10.2679 Å; angles 90.00, 90.00, 123.13 degrees
Fractional coordinates of all 4 atoms:
Br 0.5000 0.5000 0.3133
Br 0.0000 0.0000 0.9517
Mo 0.0000 0.0000 0.5097
Au 0.5000 0.5000 0.7254

=====

[4]
A plane-wave DFT calculation with PBE-GGA was carried out for crystalline YSc3As at its relaxed geometry.

Space-group type ... Pm-3m (221)
Volume ... 27.3 A^3/atom
Magnetic moment ... 2.45 Bohr magnetons per cell
Energy above the lowest structure with this stoichiometry ... 0 meV/atom
Uncorrected energy ... -31.5 eV/cell

Cell lengths 5.1516, 5.1516, 5.1516 Å; angles 90.00, 90.00, 90.00 degrees
Fractional coordinates of all 5 atoms:
Sc 0.0000 0.0000 0.5000
Sc 0.5000 0.0000 0.0000
Sc 0.0000 0.5000 0.0000
Y 0.5000 0.5000 0.5000
As 0.0000 0.0000 0.0000